Record 1
This record from Alexandria via LeMat-Bulk describes a relaxed structure of K8CdAu2O. The functional is GGA-PBE.

Lattice parameters (Å, degrees): 7.249 7.828 9.013 89.63 77.41 85.28
Space group P-1 (No. 2)
One atom of each set of equivalent atoms:
K: 0.146 0.269 0.093 x2
K: 0.205 0.791 0.148 x2
K: 0.272 0.414 0.523 x2
K: 0.298 0.944 0.768 x2
Cd: 0.000 0.000 0.500 x1
Au: 0.445 0.527 0.853 x2
O: 0.000 0.000 0.000 x1

Output
Its energy relative to the elements, uncorrected is -0.349 eV/atom. Its crystal system is triclinic. As for the total moment: 0.000 μB per atom.

Record 2
This record from Alexandria via LeMat-Bulk describes a relaxed structure of KCd2PbAu4. The functional is GGA-PBE.

Lattice parameters (Å, degrees): 5.2229 5.2229 23.8846 90.00 90.00 120.00
Space group R-3m (No. 166, hexagonal axes)
One atom of each set of equivalent atoms:
K: 0.0000 0.0000 0.0000 x3
Cd: 0.0000 0.0000 0.2584 x6
Pb: 0.0000 0.0000 0.5000 x3
Au: 0.0000 0.0000 0.1397 x6
Au: 0.0000 0.0000 0.3780 x6

Output
Its crystal system is trigonal. As for the total moment: 0.000 μB per atom. For the formation enthalpy at 0 K, the calculation gives -0.060 eV per atom.

Record 3
This record from Alexandria via LeMat-Bulk describes a relaxed structure of K2CdPb3Au4. The functional is GGA-PBE.

Lattice parameters (Å, degrees): 5.226 5.226 10.706 90.00 90.00 90.00
Space group P-4m2 (No. 115)
One atom of each set of equivalent atoms:
K: 0.000 0.500 0.245 x2
Cd: 0.000 0.000 0.500 x1
Pb: 0.000 0.500 0.883 x2
Pb: 0.500 0.500 0.500 x1
Au: 0.000 0.000 0.000 x1
Au: 0.000 0.500 0.615 x2
Au: 0.500 0.500 0.000 x1

Output
Its crystal system is tetragonal. As for the total moment: 0.000 μB per atom. For the formation enthalpy at 0 K, the calculation gives -0.216 eV per atom.

Record 4
This record from Alexandria via LeMat-Bulk describes a relaxed structure of KCd2PbAu. The functional is GGA-PBE.

Lattice parameters (Å, degrees): 4.835 4.864 12.561 90.00 90.00 90.00
Space group Imm2 (No. 44)
One atom of each set of equivalent atoms:
K: 0.000 0.000 0.000 x2
Cd: 0.000 0.000 0.390 x2
Cd: 0.000 0.500 0.238 x2
Pb: 0.000 0.500 0.738 x2
Au: 0.000 0.000 0.608 x2

Output
Its polymorph energy (0 for the lowest one) is 0 meV/atom. Its crystal system is orthorhombic. As for the total moment: 0.000 μB per atom. For the formation enthalpy at 0 K, the calculation gives -0.163 eV per atom.